1.
The following is a DFT calculation (PBE) of a geometry-optimized CoP4Au structure.

Cell: 5.0567 5.0567 5.0567 Å, 60.00 60.00 60.00°
With the nearest neighbours (Å) after each atom.
Element x y z (fractional)
Co: 0.0000 0.0000 0.0000  12 P 2.96, 4 Au 3.10
P: 0.1235 0.6255 0.6255  6 P 2.52-2.54
P: 0.6255 0.1235 0.6255  6 P 2.52-2.54
P: 0.6255 0.6255 0.1235  6 P 2.52-2.54
P: 0.6255 0.6255 0.6255  6 P 2.52-2.54
Au: 0.2500 0.2500 0.2500  12 P 2.97, 4 Co 3.10

Results
ΔH_f (0 K) ... 0.8102 eV/atom

---

2.
The following is a DFT calculation (PBE) of a geometry-optimized CuRuSe structure.

Cell: 4.1384 4.1384 4.1384 Å, 60.00 60.00 60.00°
With the nearest neighbours (Å) after each atom.
Element x y z (fractional)
Cu: 0.0000 0.0000 0.0000  4 Ru 2.53
Ru: 0.7500 0.7500 0.7500  4 Cu 2.53, 4 Se 2.53
Se: 0.5000 0.5000 0.5000  4 Ru 2.53

Results
E above lowest polymorph ... 206 meV/atom
ΔE_f (raw) ... 0.29 eV per atom

---

3.
The following is a DFT calculation (PBE) of a geometry-optimized Y6Ho2In structure.

Cell: 9.4762 9.4762 6.3786 Å, 93.43 93.43 92.97°
With the nearest neighbours (Å) after each atom.
Element x y z (fractional)
Y: 0.0286 0.1734 0.0766  2 Ho 3.36-3.37, 7 Y 3.38-3.76
Y: 0.0928 0.6855 0.4032  2 Ho 3.35-3.44, 5 Y 3.40-3.69
Y: 0.1734 0.0286 0.5766  2 Ho 3.36-3.37, 7 Y 3.38-3.76
Y: 0.1946 0.5398 0.9243  2 In 3.33-3.39, 2 Ho 3.35-3.44, 3 Y 3.49-3.69
Y: 0.3145 0.9072 0.0968  2 Ho 3.35-3.44, 5 Y 3.40-3.69
Y: 0.4602 0.8054 0.5757  2 In 3.33-3.39, 2 Ho 3.35-3.44, 3 Y 3.49-3.69
Y: 0.5398 0.1946 0.4243  2 In 3.33-3.39, 2 Ho 3.35-3.44, 3 Y 3.49-3.69
Y: 0.6855 0.0928 0.9032  2 Ho 3.35-3.44, 5 Y 3.40-3.69
Y: 0.8054 0.4602 0.0757  2 In 3.33-3.39, 2 Ho 3.35-3.44, 3 Y 3.49-3.69
Y: 0.8266 0.9714 0.4234  2 Ho 3.36-3.37, 7 Y 3.38-3.76
Y: 0.9072 0.3145 0.5968  2 Ho 3.35-3.44, 5 Y 3.40-3.69
Y: 0.9714 0.8266 0.9234  2 Ho 3.36-3.37, 7 Y 3.38-3.76
Ho: 0.2384 0.3633 0.4476  2 In 3.06-3.27, 4 Y 3.35-3.37
Ho: 0.3633 0.2384 0.9476  2 In 3.06-3.27, 4 Y 3.35-3.37
Ho: 0.6367 0.7616 0.0524  2 In 3.06-3.27, 4 Y 3.35-3.37
Ho: 0.7616 0.6367 0.5524  2 In 3.06-3.27, 4 Y 3.35-3.37
In: 0.4871 0.5129 0.2500  4 Ho 3.06-3.27, 2 In 3.21, 4 Y 3.33-3.39
In: 0.5129 0.4871 0.7500  4 Ho 3.06-3.27, 2 In 3.21, 4 Y 3.33-3.39

Results
ΔH_f (0 K) ... -0.0077 eV/atom
E above lowest polymorph ... 0 meV/atom

---

4.
The following is a DFT calculation (PBE) of a geometry-optimized Ba8LiZn2 structure.

Cell: 11.1932 11.1932 8.5261 Å, 107.75 107.75 30.87°
With the nearest neighbours (Å) after each atom.
Element x y z (fractional)
Ba: 0.0382 0.0382 0.2881  1 Zn 3.43, 2 Li 3.71
Ba: 0.1988 0.1988 0.8236  1 Zn 3.38
Ba: 0.3226 0.3226 0.5272  1 Zn 3.36
Ba: 0.4025 0.4025 0.0312  2 Zn 3.75, 1 Li 3.88, 4 Ba 4.09-4.19
Ba: 0.5975 0.5975 0.9688  2 Zn 3.75, 1 Li 3.88, 4 Ba 4.09-4.19
Ba: 0.6774 0.6774 0.4728  1 Zn 3.36
Ba: 0.8012 0.8012 0.1764  1 Zn 3.38
Ba: 0.9618 0.9618 0.7119  1 Zn 3.43, 2 Li 3.71
Li: 0.5000 0.5000 0.5000  8 Ba 3.71-3.91
Zn: 0.1838 0.1838 0.2068  5 Ba 3.36-3.75
Zn: 0.8162 0.8162 0.7932  5 Ba 3.36-3.75

Results
ΔH_f (0 K) ... -0.0227 eV/atom

---

How do the records compare in N(E_F)? In the order shown, they have 0.768 1.084 1.407 1.432 states/eV/atom.
How do the records compare in magnetization? In the order shown, they have 2.25 0.00 0.00 0.00 μB/cell.